Entry 1:
## ZrIO2 (PBE)

Data for a relaxed ZrIO2 crystal.

The structure in POSCAR format:
```
ZrIO2
1.0
3.287 -5.269 0.623
5.662 -2.290 1.286
3.233 -3.479 4.050
I O Zr
1 2 1
direct
0.500 0.500 0.500
0.882 0.882 0.882
0.118 0.118 0.118
0.000 0.000 0.000
```

Output
magnetic moment = 0.00 μB/f.u.
density = 5.50 g/cm³
N(E_F) = 0.80 states/eV/atom



Entry 2:
## Rb2PuMgO6 (PBE)

Data for a relaxed Rb2PuMgO6 crystal.

The structure in POSCAR format:
```
Rb2PuMgO6
1.0
-3.569 4.753 0.204
-4.658 0.064 3.697
0.042 3.547 4.773
Rb Pu Mg O
2 1 1 6
direct
0.750 0.750 0.750
0.250 0.250 0.250
0.000 0.000 0.000
0.500 0.500 0.500
0.238 0.762 0.762
0.238 0.762 0.238
0.238 0.238 0.762
0.762 0.762 0.238
0.762 0.238 0.238
0.762 0.238 0.762
```

Output
magnetic moment = 0.04 μB/f.u.
density = 5.98 g/cm³
N(E_F) = 0.93 states/eV/atom



no.,uncorrected formation energy (meV per atom)
1,-149
2,-2080